{
  "formula": "AcAl5Ni2",
  "functional": "PBE",
  "state": "optimized geometry",
  "cell": [[4.067, 0.000, 0.000], [2.033, 6.078, 0.436], [2.033, 1.546, 5.895]],
  "species": ["Al", "Al", "Ni", "Al", "Ni", "Al", "Ac", "Al"],
  "frac_coords": [[0.000, 0.500, 0.500], [0.662, 0.149, 0.526], [0.767, 0.733, 0.733], [0.338, 0.474, 0.851], [0.233, 0.267, 0.267], [0.662, 0.526, 0.149], [0.000, 0.000, 0.000], [0.338, 0.851, 0.474]],
  "space_group": "No. 71",
  "crystal_system": "orthorhombic",
  "e_form_ev_per_atom": -0.573,
  "m_tot_mub_per_cell": 0.00
}